[1]
The following is a PBE calculation of an optimized crystal structure of RbBeMoOs2, from Alexandria.

Values from the calculation:
Its space-group type is P4/mmm. Its density of states at the Fermi level is 4.65 states/eV per cell. Its electronic total energy is -5.1887 eV/atom.

Lattice parameters (Å, degrees): 4.709 6.177 4.709 90.00 90.00 90.00
Fractional positions:
Rb  0.000  0.500  0.000
Be  0.500  0.500  0.500
Mo  0.000  0.000  0.000
Os  0.500  0.000  0.000
Os  0.000  0.000  0.500

[2]
The following is a PBE calculation of an optimized crystal structure of Pr3Sm5Ho2, from Alexandria.

Values from the calculation:
Its space-group type is C2/c. Its density of states at the Fermi level is 34.45 states/eV per cell. Its electronic total energy is -4.5263 eV/atom.

Lattice parameters (Å, degrees): 9.845 9.787 11.256 126.95 127.06 67.65
Fractional positions:
Sm  0.022  0.772  0.545
Pr  0.980  0.220  0.751
Sm  0.728  0.478  0.956
Pr  0.770  0.020  0.039
Pr  0.271  0.531  0.751
Pr  0.020  0.780  0.249
Sm  0.529  0.279  0.558
Sm  0.147  0.391  0.262
Sm  0.385  0.129  0.738
Pr  0.230  0.980  0.961
Sm  0.615  0.871  0.262
Sm  0.272  0.522  0.044
Ho  0.776  0.014  0.741
Sm  0.853  0.609  0.738
Ho  0.465  0.728  0.741
Ho  0.535  0.272  0.259
Sm  0.978  0.228  0.455
Pr  0.729  0.469  0.249
Sm  0.471  0.721  0.442
Ho  0.224  0.986  0.259

[3]
The following is a PBE calculation of an optimized crystal structure of Er3Ga3Ni8, from Alexandria.

Values from the calculation:
Its space-group type is Immm. Its density of states at the Fermi level is 9.76 states/eV per cell. Its electronic total energy is -5.3673 eV/atom.

Lattice parameters (Å, degrees): 4.085 7.714 7.714 68.33 74.65 74.65
Fractional positions:
Ni  0.384  0.896  0.336
Er  0.500  0.500  0.500
Ga  0.000  0.764  0.236
Ni  0.814  0.843  0.529
Ga  0.000  0.236  0.764
Ni  0.814  0.529  0.843
Er  0.796  0.204  0.204
Ni  0.616  0.664  0.104
Er  0.204  0.796  0.796
Ni  0.186  0.471  0.157
Ni  0.186  0.157  0.471
Ga  0.500  0.000  0.000
Ni  0.384  0.336  0.896
Ni  0.616  0.104  0.664

[4]
The following is a PBE calculation of an optimized crystal structure of IrOsRu2, from Alexandria.

Values from the calculation:
Its space-group type is P4/mmm. Its density of states at the Fermi level is 3.97 states/eV per cell. Its electronic total energy is -9.6149 eV/atom.

Lattice parameters (Å, degrees): 2.716 2.716 7.683 90.00 90.00 90.00
Fractional positions:
Ru  0.000  0.000  0.502
Os  0.500  0.500  0.750
Ir  0.500  0.500  0.250
Ru  0.000  0.000  0.998